Entry 1:
# CoSi2AuBr, relaxed, DFT PBE
# V   24.79 Å³ per atom
# Formation energy (no corrections)   1739 meV/atom
data_CoSi2AuBr
_cell_length_a 4.985
_cell_length_b 4.985
_cell_length_c 4.988
_cell_angle_alpha 90.00
_cell_angle_beta 90.00
_cell_angle_gamma 90.00
_symmetry_space_group_name_H-M 'P 1'
_symmetry_Int_Tables_number 1
loop_
_symmetry_equiv_pos_as_xyz
'x,y,z'
loop_
_atom_site_label
_atom_site_type_symbol
_atom_site_fract_x
_atom_site_fract_y
_atom_site_fract_z
Co1 Co 0.000 0.000 0.000
Si1 Si 0.000 0.500 0.500
Si2 Si 0.500 0.000 0.500
Au1 Au 0.500 0.500 0.000
Br1 Br 0.500 0.500 0.500

=====

Entry 2:
# TaCoAu2Br, relaxed, DFT PBE
# V   20.98 Å³ per atom
# Formation energy (no corrections)   1594 meV/atom
data_TaCoAu2Br
_cell_length_a 5.004
_cell_length_b 5.004
_cell_length_c 4.190
_cell_angle_alpha 90.00
_cell_angle_beta 90.00
_cell_angle_gamma 90.00
_symmetry_space_group_name_H-M 'P 1'
_symmetry_Int_Tables_number 1
loop_
_symmetry_equiv_pos_as_xyz
'x,y,z'
loop_
_atom_site_label
_atom_site_type_symbol
_atom_site_fract_x
_atom_site_fract_y
_atom_site_fract_z
Ta1 Ta 0.000 0.000 0.000
Co1 Co 0.500 0.500 0.000
Au1 Au 0.000 0.500 0.500
Au2 Au 0.500 0.000 0.500
Br1 Br 0.500 0.500 0.500

=====

Entry 3:
# CoTe2AuBr, relaxed, DFT PBE
# V   29.31 Å³ per atom
# Formation energy (no corrections)   1109 meV/atom
data_CoTe2AuBr
_cell_length_a 5.782
_cell_length_b 5.782
_cell_length_c 4.384
_cell_angle_alpha 90.00
_cell_angle_beta 90.00
_cell_angle_gamma 90.00
_symmetry_space_group_name_H-M 'P 1'
_symmetry_Int_Tables_number 1
loop_
_symmetry_equiv_pos_as_xyz
'x,y,z'
loop_
_atom_site_label
_atom_site_type_symbol
_atom_site_fract_x
_atom_site_fract_y
_atom_site_fract_z
Co1 Co 0.000 0.000 0.000
Te1 Te 0.000 0.500 0.500
Te2 Te 0.500 0.000 0.500
Au1 Au 0.500 0.500 0.000
Br1 Br 0.000 0.000 0.500

=====

Entry 4:
# TlCo2AuBr8, relaxed, DFT PBE
# V   31.01 Å³ per atom
# Formation energy (no corrections)   -293 meV/atom
data_TlCo2AuBr8
_cell_length_a 10.439
_cell_length_b 10.439
_cell_length_c 10.439
_cell_angle_alpha 37.17
_cell_angle_beta 37.17
_cell_angle_gamma 37.17
_symmetry_space_group_name_H-M 'P 1'
_symmetry_Int_Tables_number 1
loop_
_symmetry_equiv_pos_as_xyz
'x,y,z'
loop_
_atom_site_label
_atom_site_type_symbol
_atom_site_fract_x
_atom_site_fract_y
_atom_site_fract_z
Tl1 Tl 0.000 0.000 0.000
Co1 Co 0.248 0.248 0.248
Co2 Co 0.752 0.752 0.752
Au1 Au 0.500 0.500 0.500
Br1 Br 0.108 0.438 0.784
Br2 Br 0.216 0.892 0.562
Br3 Br 0.328 0.328 0.328
Br4 Br 0.438 0.784 0.108
Br5 Br 0.562 0.216 0.892
Br6 Br 0.672 0.672 0.672
Br7 Br 0.784 0.108 0.438
Br8 Br 0.892 0.562 0.216

=====

Entry 5:
# YCo2AuBr, relaxed, DFT PBE
# V   20.21 Å³ per atom
# Formation energy (no corrections)   618 meV/atom
data_YCo2AuBr
_cell_length_a 4.367
_cell_length_b 4.367
_cell_length_c 5.299
_cell_angle_alpha 90.00
_cell_angle_beta 90.00
_cell_angle_gamma 90.00
_symmetry_space_group_name_H-M 'P 1'
_symmetry_Int_Tables_number 1
loop_
_symmetry_equiv_pos_as_xyz
'x,y,z'
loop_
_atom_site_label
_atom_site_type_symbol
_atom_site_fract_x
_atom_site_fract_y
_atom_site_fract_z
Y1 Y 0.000 0.000 0.000
Co1 Co 0.000 0.500 0.500
Co2 Co 0.500 0.000 0.500
Au1 Au 0.500 0.500 0.000
Br1 Br 0.500 0.500 0.500

=====

Entry 6:
# CrAu2Br, relaxed, DFT PBE
# Excess energy over the best structure of this formula in the dataset   0.000 eV per atom
# V   24.99 Å³ per atom
# Formation energy (no corrections)   61 meV/atom
data_CrAu2Br
_cell_length_a 4.888
_cell_length_b 4.888
_cell_length_c 6.671
_cell_angle_alpha 101.75
_cell_angle_beta 101.75
_cell_angle_gamma 39.97
_symmetry_space_group_name_H-M 'P 1'
_symmetry_Int_Tables_number 1
loop_
_symmetry_equiv_pos_as_xyz
'x,y,z'
loop_
_atom_site_label
_atom_site_type_symbol
_atom_site_fract_x
_atom_site_fract_y
_atom_site_fract_z
Cr1 Cr 0.000 0.000 0.000
Au1 Au 0.481 0.481 0.317
Au2 Au 0.736 0.736 0.166
Br1 Br 0.415 0.415 0.720

=====

Entry 7:
# CrAu2Br, relaxed, DFT PBE
# Excess energy over the best structure of this formula in the dataset   0.225 eV per atom
# V   19.99 Å³ per atom
# Formation energy (no corrections)   286 meV/atom
data_CrAu2Br
_cell_length_a 3.132
_cell_length_b 3.132
_cell_length_c 8.150
_cell_angle_alpha 90.00
_cell_angle_beta 90.00
_cell_angle_gamma 90.00
_symmetry_space_group_name_H-M 'P 1'
_symmetry_Int_Tables_number 1
loop_
_symmetry_equiv_pos_as_xyz
'x,y,z'
loop_
_atom_site_label
_atom_site_type_symbol
_atom_site_fract_x
_atom_site_fract_y
_atom_site_fract_z
Cr1 Cr 0.000 0.000 0.000
Au1 Au 0.500 0.500 0.206
Au2 Au 0.500 0.500 0.794
Br1 Br 0.000 0.000 0.500

=====

Entry 8:
# CrAuBr, relaxed, DFT PBE
# Excess energy over the best structure of this formula in the dataset   0.000 eV per atom
# V   22.83 Å³ per atom
# Formation energy (no corrections)   23 meV/atom
data_CrAuBr
_cell_length_a 3.603
_cell_length_b 3.603
_cell_length_c 6.093
_cell_angle_alpha 90.00
_cell_angle_beta 90.00
_cell_angle_gamma 120.00
_symmetry_space_group_name_H-M 'P 1'
_symmetry_Int_Tables_number 1
loop_
_symmetry_equiv_pos_as_xyz
'x,y,z'
loop_
_atom_site_label
_atom_site_type_symbol
_atom_site_fract_x
_atom_site_fract_y
_atom_site_fract_z
Cr1 Cr 0.000 0.000 0.000
Au1 Au 0.667 0.333 0.276
Br1 Br 0.333 0.667 0.735

=====

Which of these has the highest formation energy (no corrections)?
CoSi2AuBr

=====

The lowest V belongs to which entry?
number 7

=====

Which of these has the lowest formation energy (no corrections)?
TlCo2AuBr8